The following is a GGA-PBE calculation of Tb4Se3O after structural relaxation, from the Alexandria database.

V ... 423 Å³ per cell
VASP energy ... -97.12 eV per cell
Space-group type ... Pmn2_1

a b c (Å): 5.8762 7.6727 9.3834
angles (deg): 90.00 90.00 90.00
Element x y z (fractional)
Tb1 0.0693 0.2665 0.7900
Tb2 0.0832 0.8653 0.5000
Tb3 0.0826 0.8632 0.0000
Tb4 0.0693 0.2665 0.2100
Tb5 0.5832 0.1347 0.0000
Tb6 0.5826 0.1368 0.5000
Tb7 0.5693 0.7335 0.2900
Tb8 0.5693 0.7335 0.7100
Se1 0.5973 0.7691 0.0000
Se2 0.5773 0.3548 0.2434
Se3 0.0773 0.6452 0.2566
Se4 0.0773 0.6452 0.7434
Se5 0.0973 0.2309 0.5000
Se6 0.5773 0.3548 0.7566
O1 0.9589 0.1503 0.0000
O2 0.4589 0.8497 0.5000

The following is a GGA-PBE calculation of Tb4Se3O2 after structural relaxation, from the Alexandria database.

V ... 186 Å³ per cell
VASP energy ... -60.83 eV per cell
Space-group type ... C2/m

a b c (Å): 3.8937 6.6980 7.9079
angles (deg): 73.47 75.75 73.10
Element x y z (fractional)
Tb1 0.3164 0.2614 0.1059
Tb2 0.1108 0.1797 0.5988
Tb3 0.8892 0.8203 0.4012
Tb4 0.6836 0.7386 0.8941
Se1 0.6143 0.4917 0.2796
Se2 0.3857 0.5083 0.7204
Se3 0.0000 0.0000 0.0000
O1 0.3115 0.0073 0.3697
O2 0.6885 0.9927 0.6303